An optimized crystal structure of Pm3SmSn4, computed with PBE.

Results
As for the total energy: -4.926 eV/atom.

Cell: 6.3529 12.6820 6.3544 Å, 90.00 90.00 90.00°
With the nearest neighbours (Å) after each atom.
Element x y z (fractional)
Pm1 0.2500 0.0000 0.2497  6 Sn 3.17-3.18
Pm2 0.2500 0.2500 0.7488  6 Sn 3.18
Pm3 0.2500 0.5000 0.2497  6 Sn 3.17-3.18
Pm4 0.7500 0.0000 0.7503  6 Sn 3.17-3.18
Pm5 0.7500 0.5000 0.7503  6 Sn 3.17-3.18
Pm6 0.7500 0.7500 0.2512  6 Sn 3.18
Sm1 0.2500 0.7500 0.7505  6 Sn 3.16-3.18
Sm2 0.7500 0.2500 0.2495  6 Sn 3.16-3.18
Sn1 0.2500 0.9995 0.7497  1 Sm 3.16, 5 Pm 3.18
Sn2 0.2500 0.2500 0.2488  4 Pm 3.17-3.18, 2 Sm 3.18
Sn3 0.2500 0.5005 0.7497  1 Sm 3.16, 5 Pm 3.18
Sn4 0.2500 0.7500 0.2505  4 Pm 3.17-3.18, 2 Sm 3.18
Sn5 0.7500 0.0005 0.2503  1 Sm 3.16, 5 Pm 3.18
Sn6 0.7500 0.2500 0.7495  4 Pm 3.17-3.18, 2 Sm 3.18
Sn7 0.7500 0.4995 0.2503  1 Sm 3.16, 5 Pm 3.18
Sn8 0.7500 0.7500 0.7512  4 Pm 3.17-3.18, 2 Sm 3.18

An optimized crystal structure of PrSmCo, computed with PBE.

Results
The value obtained for the energy above the most stable polymorph in this dataset is 11.0 kJ per mole of atoms.

Cell: 6.8279 6.8279 6.8279 Å, 90.00 90.00 90.00°
With the nearest neighbours (Å) after each atom.
Element x y z (fractional)
Pr1 0.0000 0.0000 0.0000  4 Co 2.96
Pr2 0.0000 0.5000 0.5000  4 Co 2.96
Pr3 0.5000 0.0000 0.5000  4 Co 2.96
Pr4 0.5000 0.5000 0.0000  4 Co 2.96
Sm1 0.0000 0.0000 0.5000  4 Co 2.96
Sm2 0.0000 0.5000 0.0000  4 Co 2.96
Sm3 0.5000 0.0000 0.0000  4 Co 2.96
Sm4 0.5000 0.5000 0.5000  4 Co 2.96
Co1 0.2500 0.2500 0.2500  4 Pr 2.96, 4 Sm 2.96
Co2 0.2500 0.7500 0.7500  4 Pr 2.96, 4 Sm 2.96
Co3 0.7500 0.2500 0.7500  4 Pr 2.96, 4 Sm 2.96
Co4 0.7500 0.7500 0.2500  4 Pr 2.96, 4 Sm 2.96

An optimized crystal structure of MnInNi2, computed with PBE.

Results
As for the total energy: -5.800 eV/atom.

Cell: 6.0644 6.0644 6.0644 Å, 90.00 90.00 90.00°
With the nearest neighbours (Å) after each atom.
Element x y z (fractional)
Mn1 0.0000 0.0000 0.0000  4 In 2.63, 4 Ni 2.63
Mn2 0.0000 0.5000 0.5000  4 In 2.63, 4 Ni 2.63
Mn3 0.5000 0.0000 0.5000  4 In 2.63, 4 Ni 2.63
Mn4 0.5000 0.5000 0.0000  4 In 2.63, 4 Ni 2.63
In1 0.2500 0.2500 0.7500  4 Mn 2.63, 4 Ni 2.63
In2 0.2500 0.7500 0.2500  4 Mn 2.63, 4 Ni 2.63
In3 0.7500 0.2500 0.2500  4 Mn 2.63, 4 Ni 2.63
In4 0.7500 0.7500 0.7500  4 Mn 2.63, 4 Ni 2.63
Ni1 0.0000 0.0000 0.5000  4 Ni 2.63, 4 In 2.63
Ni2 0.0000 0.5000 0.0000  4 Ni 2.63, 4 In 2.63
Ni3 0.2500 0.2500 0.2500  4 Mn 2.63, 4 Ni 2.63
Ni4 0.2500 0.7500 0.7500  4 Mn 2.63, 4 Ni 2.63
Ni5 0.5000 0.0000 0.0000  4 Ni 2.63, 4 In 2.63
Ni6 0.5000 0.5000 0.5000  4 Ni 2.63, 4 In 2.63
Ni7 0.7500 0.2500 0.7500  4 Mn 2.63, 4 Ni 2.63
Ni8 0.7500 0.7500 0.2500  4 Mn 2.63, 4 Ni 2.63

An optimized crystal structure of AcI2Br8, computed with PBE.

Results
For the energy relative to the elements, uncorrected, the calculation gives -0.555 eV/atom.

Cell: 9.2338 9.2338 7.3280 Å, 93.86 93.86 48.00°
With the nearest neighbours (Å) after each atom.
Element x y z (fractional)
Ac1 0.0000 0.0000 0.0000  6 Br 3.04-3.09
I1 0.2207 0.2207 0.4366  2 Br 2.54-2.81
I2 0.7793 0.7793 0.5634  2 Br 2.54-2.81
Br1 0.1451 0.1451 0.7658  1 I 2.81, 1 Ac 3.09
Br2 0.1958 0.6300 0.7662  1 Ac 3.04, 1 Br 3.26, 1 I 3.36
Br3 0.3088 0.3088 0.1704  1 I 2.54
Br4 0.3700 0.8042 0.2338  1 Ac 3.04, 1 Br 3.26, 1 I 3.36
Br5 0.6300 0.1958 0.7662  1 Ac 3.04, 1 Br 3.26, 1 I 3.36
Br6 0.6912 0.6912 0.8296  1 I 2.54
Br7 0.8042 0.3700 0.2338  1 Ac 3.04, 1 Br 3.26, 1 I 3.36
Br8 0.8549 0.8549 0.2342  1 I 2.81, 1 Ac 3.09

An optimized crystal structure of Nd7Tm2Mg2, computed with PBE.

Results
The value obtained for the energy above the most stable polymorph in this dataset is 0.0 kJ per mole of atoms.

Cell: 6.6357 6.6357 8.4610 Å, 100.23 100.23 93.47°
With the nearest neighbours (Å) after each atom.
Element x y z (fractional)
Nd1 0.0000 0.0000 0.0000  2 Mg 3.45, 10 Nd 3.48-3.82
Nd2 0.1080 0.4728 0.8166  3 Mg 3.34-3.50, 2 Tm 3.51-3.67, 4 Nd 3.53-3.73
Nd3 0.1510 0.1510 0.4220  4 Nd 3.34-3.70, 1 Mg 3.45, 4 Tm 3.51-3.54
Nd4 0.4728 0.1080 0.8166  3 Mg 3.34-3.50, 2 Tm 3.51-3.67, 4 Nd 3.53-3.73
Nd5 0.5272 0.8920 0.1834  3 Mg 3.34-3.50, 2 Tm 3.51-3.67, 4 Nd 3.53-3.73
Nd6 0.8490 0.8490 0.5780  4 Nd 3.34-3.70, 1 Mg 3.45, 4 Tm 3.51-3.54
Nd7 0.8920 0.5272 0.1834  3 Mg 3.34-3.50, 2 Tm 3.51-3.67, 4 Nd 3.53-3.73
Tm1 0.3233 0.6767 0.5000  2 Mg 3.25, 1 Tm 3.42, 6 Nd 3.51-3.54
Tm2 0.6767 0.3233 0.5000  2 Mg 3.25, 1 Tm 3.42, 6 Nd 3.51-3.54
Mg1 0.3887 0.3887 0.1636  2 Tm 3.25, 8 Nd 3.34-3.50
Mg2 0.6113 0.6113 0.8364  2 Tm 3.25, 8 Nd 3.34-3.50

An optimized crystal structure of Mg5AlIn2, computed with PBE.

Results
The value obtained for the energy above the most stable polymorph in this dataset is 4.7 kJ per mole of atoms.

Cell: 4.8662 4.8662 18.9751 Å, 90.00 90.00 120.00°
With the nearest neighbours (Å) after each atom.
Element x y z (fractional)
Mg1 0.0000 0.0000 0.1649  3 In 3.05, 4 Mg 3.23-3.24, 3 Al 3.24
Mg2 0.0000 0.0000 0.3351  3 In 3.05, 4 Mg 3.23-3.24, 3 Al 3.24
Mg3 0.0000 0.0000 0.6649  3 In 3.05, 4 Mg 3.23-3.24, 3 Al 3.24
Mg4 0.0000 0.0000 0.8351  3 In 3.05, 4 Mg 3.23-3.24, 3 Al 3.24
Mg5 0.3333 0.6667 0.0540  4 In 2.95-2.96
Mg6 0.3333 0.6667 0.2500  3 Al 2.81
Mg7 0.3333 0.6667 0.4460  4 In 2.95-2.96
Mg8 0.6667 0.3333 0.5540  4 In 2.95-2.96
Mg9 0.6667 0.3333 0.7500  3 Al 2.81
Mg10 0.6667 0.3333 0.9460  4 In 2.95-2.96
Al1 0.3333 0.6667 0.7500  2 In 2.81, 3 Mg 2.81
Al2 0.6667 0.3333 0.2500  2 In 2.81, 3 Mg 2.81
In1 0.3333 0.6667 0.6021  1 Al 2.81, 7 Mg 2.95-3.05
In2 0.3333 0.6667 0.8979  1 Al 2.81, 7 Mg 2.95-3.05
In3 0.6667 0.3333 0.1021  1 Al 2.81, 7 Mg 2.95-3.05
In4 0.6667 0.3333 0.3979  1 Al 2.81, 7 Mg 2.95-3.05